No. 1
First-principles (PBE+U) data for an optimized crystal structure of LaVO3, as listed in Alexandria.

The structure in CIF format:
```
data_LaVO3
_chemical_formula_sum 'La1 V1 O3'
_symmetry_space_group_name_H-M 'P m -3 m'
_symmetry_Int_Tables_number 221
_symmetry_space_group_name_Hall '-P 4 2 3'
_cell_length_a 4.4935
_cell_length_b 4.4935
_cell_length_c 4.4935
_cell_angle_alpha 90.00
_cell_angle_beta 90.00
_cell_angle_gamma 90.00
loop_
_atom_site_label
_atom_site_type_symbol
_atom_site_fract_x
_atom_site_fract_y
_atom_site_fract_z
La1 La 0.0000 0.0000 0.0000
V1 V 0.5000 0.5000 0.5000
O1 O 0.0000 0.0000 0.5000
```

Electronic total energy (eV/atom): -6.607

No. 2
First-principles (PBE+U) data for an optimized crystal structure of La4V6O19, as listed in Alexandria.

The structure in CIF format:
```
data_La4V6O19
_chemical_formula_sum 'La8 V12 O38'
_symmetry_space_group_name_H-M 'I 2 3'
_symmetry_Int_Tables_number 197
_symmetry_space_group_name_Hall 'I 2 2 3'
_cell_length_a 8.9263
_cell_length_b 8.9263
_cell_length_c 8.9263
_cell_angle_alpha 90.00
_cell_angle_beta 90.00
_cell_angle_gamma 90.00
loop_
_atom_site_label
_atom_site_type_symbol
_atom_site_fract_x
_atom_site_fract_y
_atom_site_fract_z
La1 La 0.1617 0.1617 0.8383
V1 V 0.0000 0.3374 0.5000
O1 O 0.0000 0.0000 0.0000
O2 O 0.0000 0.0000 0.3566
O3 O 0.0349 0.3242 0.2903
```

Electronic total energy (eV/atom): -7.975

Q: Which of these has the lowest electronic total energy?
A: La4V6O19

Q: Look up the electronic total energy of the first one.
A: -6.607 eV/atom

Q: Number 1 is which compound?
A: LaVO3